# 1
Below is a relaxed structure of TaPt2SeI, with properties calculated at the GGA-PBE level.

a = 4.6828 Å, b = 4.6828 Å, c = 5.5021 Å
α = 90.00°, β = 90.00°, γ = 90.00°
Space group P4/mmm (No. 123)
One atom of each set of equivalent atoms:
Ta  0.0000  0.0000  0.0000 [1 per cell]
Pt  0.0000  0.5000  0.5000 [2 per cell]
Se  0.5000  0.5000  0.5000 [1 per cell]
I  0.5000  0.5000  0.0000 [1 per cell]

## Properties
For the density of states at the Fermi level, the calculation gives 0.89 states/eV/atom. The value obtained for the energy is -4.522 eV per atom. For the uncorrected formation energy, the calculation gives 1.272 eV per atom.

=====

# 2
Below is a relaxed structure of Ti3NbIn, with properties calculated at the GGA-PBE level.

a = 14.1116 Å, b = 7.1868 Å, c = 7.5943 Å
α = 90.00°, β = 96.42°, γ = 90.00°
Space group C2/c (No. 15)
One atom of each set of equivalent atoms:
Ti  0.0941  0.1761  0.4460 [8 per cell]
Ti  0.1166  0.1880  0.0924 [8 per cell]
Ti  0.2158  0.4615  0.4833 [8 per cell]
Nb  0.2020  0.2082  0.7732 [8 per cell]
In  0.0000  0.1049  0.7500 [4 per cell]
In  0.0000  0.4957  0.7500 [4 per cell]

## Properties
For the density of states at the Fermi level, the calculation gives 1.02 states/eV/atom. As for the formation energy: 0.161 eV/atom. The value obtained for the energy is -7.138 eV per atom.

=====

# 3
Below is a relaxed structure of TaAs2Ir, with properties calculated at the GGA-PBE level.

a = 3.9451 Å, b = 3.9451 Å, c = 8.3803 Å
α = 90.00°, β = 90.00°, γ = 90.00°
Space group I-4m2 (No. 119)
One atom of each set of equivalent atoms:
Ta  0.0000  0.0000  0.0000 [2 per cell]
As  0.0000  0.0000  0.5000 [2 per cell]
As  0.0000  0.5000  0.7500 [2 per cell]
Ir  0.0000  0.5000  0.2500 [2 per cell]

## Properties
For the density of states at the Fermi level, the calculation gives 0.52 states/eV/atom. As for the formation energy: 0.013 eV/atom. The value obtained for the energy is -7.490 eV per atom.